one.
Here is an optimized crystal structure of P2C3 from the Alexandria database. Energies are from PBE-GGA.

Cell lengths 9.025, 10.555, 4.852 Å; angles 90.00, 90.00, 90.00 degrees
Space group Fdd2 (No. 43)
Inequivalent atoms, fractional coordinates:
P 0.095 0.207 0.000
C 0.000 0.000 0.564
C 0.062 0.309 0.281

Computed properties:
V (Å³/f.u.): 58
Spin magnetization (μB per formula unit): 0.00
Crystal system: orthorhombic

---

two.
Here is an optimized crystal structure of P2C3 from the Alexandria database. Energies are from PBE-GGA.

Cell lengths 6.137, 3.661, 5.377 Å; angles 90.00, 103.97, 90.00 degrees
Space group Cm (No. 8)
Inequivalent atoms, fractional coordinates:
P 0.000 0.000 0.000
P 0.223 0.500 0.220
C 0.325 0.188 0.499
C 0.379 0.500 0.667

Computed properties:
V (Å³/f.u.): 59
Spin magnetization (μB per formula unit): 0.00
Crystal system: monoclinic

---

three.
Here is an optimized crystal structure of P2C3 from the Alexandria database. Energies are from PBE-GGA.

Cell lengths 7.820, 4.792, 5.312 Å; angles 90.00, 129.18, 90.00 degrees
Space group C2 (No. 5)
Inequivalent atoms, fractional coordinates:
P 0.187 0.000 0.140
C 0.000 0.145 0.500
C 0.167 0.173 0.812

Computed properties:
V (Å³/f.u.): 77
Spin magnetization (μB per formula unit): 0.00
Crystal system: monoclinic

---

Computed energies relative to the best structure, in eV/atom: one 0.366; two 0.000; three 0.069

---

one.
Here is an optimized crystal structure of P2C3 from the Alexandria database. Energies are from PBE-GGA.

Cell lengths 3.596, 9.625, 3.545 Å; angles 90.00, 90.00, 90.00 degrees
Space group Imm2 (No. 44)
Inequivalent atoms, fractional coordinates:
P 0.000 0.131 0.000
C 0.000 0.000 0.598
C 0.205 0.500 0.782

Computed properties:
V (Å³/f.u.): 61
Spin magnetization (μB per formula unit): 0.00
Crystal system: orthorhombic

---

two.
Here is an optimized crystal structure of P2C3 from the Alexandria database. Energies are from PBE-GGA.

Cell lengths 2.8841, 2.8841, 19.3923 Å; angles 90.00, 90.00, 120.00 degrees
Space group R-3m (No. 166, hexagonal axes)
Inequivalent atoms, fractional coordinates:
P 0.0000 0.0000 0.0930
C 0.0000 0.0000 0.2782
C 0.0000 0.0000 0.5000

Computed properties:
V (Å³/f.u.): 47
Spin magnetization (μB per formula unit): 0.00
Crystal system: trigonal

---

three.
Here is an optimized crystal structure of P2C3 from the Alexandria database. Energies are from PBE-GGA.

Cell lengths 2.8760, 2.8760, 6.6200 Å; angles 90.00, 90.00, 120.00 degrees
Space group P-3m1 (No. 164)
Inequivalent atoms, fractional coordinates:
P 0.3333 0.6667 0.2828
C 0.0000 0.0000 0.5000
C 0.3333 0.6667 0.8261

Computed properties:
V (Å³/f.u.): 47
Spin magnetization (μB per formula unit): 0.00
Crystal system: trigonal

---

four.
Here is an optimized crystal structure of P2C3 from the Alexandria database. Energies are from PBE-GGA.

Cell lengths 9.864, 2.428, 5.830 Å; angles 90.00, 113.84, 90.00 degrees
Space group Cm (No. 8)
Inequivalent atoms, fractional coordinates:
P 0.000 0.000 0.000
P 0.080 0.000 0.588
C 0.137 0.000 0.319
C 0.299 0.000 0.392
C 0.377 0.500 0.435

Computed properties:
V (Å³/f.u.): 64
Spin magnetization (μB per formula unit): 0.00
Crystal system: monoclinic

---

Computed energies relative to the best structure, in eV/atom: one 0.098; two 0.838; three 0.851; four 0.000

---

one.
Here is an optimized crystal structure of P5C3 from the Alexandria database. Energies are from PBE-GGA.

Cell lengths 5.870, 16.620, 4.995 Å; angles 90.00, 91.96, 90.00 degrees
Space group Cm (No. 8)
Inequivalent atoms, fractional coordinates:
P 0.000 0.000 0.000
P 0.008 0.500 0.043
P 0.105 0.216 0.601
P 0.237 0.431 0.781
P 0.238 0.077 0.513
P 0.374 0.216 0.105
C 0.073 0.000 0.341
C 0.121 0.245 0.263
C 0.258 0.000 0.796
C 0.365 0.244 0.764

Computed properties:
V (Å³/f.u.): 122
Spin magnetization (μB per formula unit): 0.00
Crystal system: monoclinic

---

two.
Here is an optimized crystal structure of P5C3 from the Alexandria database. Energies are from PBE-GGA.

Cell lengths 5.669, 5.671, 7.358 Å; angles 90.00, 90.00, 90.00 degrees
Space group Cmmm (No. 65)
Inequivalent atoms, fractional coordinates:
P 0.000 0.000 0.000
P 0.250 0.000 0.500
P 0.250 0.250 0.000
C 0.000 0.250 0.500
C 0.000 0.500 0.000

Computed properties:
V (Å³/f.u.): 118
Spin magnetization (μB per formula unit): 0.00
Crystal system: orthorhombic

---

three.
Here is an optimized crystal structure of P5C3 from the Alexandria database. Energies are from PBE-GGA.

Cell lengths 2.673, 2.673, 14.205 Å; angles 90.00, 90.00, 90.00 degrees
Space group P4/mmm (No. 123)
Inequivalent atoms, fractional coordinates:
P 0.000 0.000 0.000
P 0.000 0.000 0.169
P 0.500 0.500 0.422
C 0.000 0.000 0.500
C 0.500 0.500 0.185

Computed properties:
V (Å³/f.u.): 101
Spin magnetization (μB per formula unit): 0.00
Crystal system: tetragonal

---

Computed energies relative to the best structure, in eV/atom: one 0.000; two 0.812; three 0.657

---

one.
Here is an optimized crystal structure of P3C4 from the Alexandria database. Energies are from PBE-GGA.

Cell lengths 5.5606, 5.5606, 2.6746 Å; angles 90.00, 90.00, 120.00 degrees
Space group P6/mmm (No. 191)
Inequivalent atoms, fractional coordinates:
P 0.0000 0.5000 0.0000
C 0.0000 0.0000 0.2572
C 0.3333 0.6667 0.5000

Computed properties:
V (Å³/f.u.): 72
Spin magnetization (μB per formula unit): 0.00
Crystal system: hexagonal

---

two.
Here is an optimized crystal structure of P3C4 from the Alexandria database. Energies are from PBE-GGA.

Cell lengths 2.843, 2.843, 15.351 Å; angles 90.00, 90.00, 90.00 degrees
Space group I4/mmm (No. 139)
Inequivalent atoms, fractional coordinates:
P 0.000 0.000 0.000
P 0.000 0.000 0.318
C 0.000 0.000 0.193
C 0.000 0.000 0.449

Computed properties:
V (Å³/f.u.): 62
Spin magnetization (μB per formula unit): 0.00
Crystal system: tetragonal

---

three.
Here is an optimized crystal structure of P3C4 from the Alexandria database. Energies are from PBE-GGA.

Cell lengths 3.951, 3.951, 3.951 Å; angles 90.00, 90.00, 90.00 degrees
Space group Pm-3m (No. 221)
Inequivalent atoms, fractional coordinates:
P 0.000 0.000 0.500
C 0.000 0.000 0.000
C 0.000 0.500 0.500

Computed properties:
V (Å³/f.u.): 62
Spin magnetization (μB per formula unit): 0.53
Crystal system: cubic

---

Computed energies relative to the best structure, in eV/atom: one 0.067; two 0.028; three 0.000

---

one.
Here is an optimized crystal structure of Pa4P3C from the Alexandria database. Energies are from PBE-GGA.

Cell lengths 6.762, 7.789, 6.670 Å; angles 90.00, 109.57, 90.00 degrees
Space group P2/c (No. 13)
Inequivalent atoms, fractional coordinates:
Pa 0.227 0.114 0.002
Pa 0.239 0.362 0.487
P 0.000 0.375 0.750
P 0.500 0.124 0.750
P 0.500 0.376 0.250
C 0.000 0.123 0.250

Computed properties:
V (Å³/f.u.): 166
Spin magnetization (μB per formula unit): 0.00
Crystal system: monoclinic

---

two.
Here is an optimized crystal structure of Pa4P3C from the Alexandria database. Energies are from PBE-GGA.

Cell lengths 5.502, 5.502, 5.502 Å; angles 90.00, 90.00, 90.00 degrees
Space group Pm-3m (No. 221)
Inequivalent atoms, fractional coordinates:
Pa 0.000 0.000 0.000
Pa 0.000 0.500 0.500
P 0.000 0.000 0.500
C 0.500 0.500 0.500

Computed properties:
V (Å³/f.u.): 167
Spin magnetization (μB per formula unit): 0.00
Crystal system: cubic

---

Computed energies relative to the best structure, in eV/atom: one 0.000; two 0.086

---

one.
Here is an optimized crystal structure of PaPC from the Alexandria database. Energies are from PBE-GGA.

Cell lengths 7.484, 3.696, 7.214 Å; angles 90.00, 110.27, 90.00 degrees
Space group C2/m (No. 12)
Inequivalent atoms, fractional coordinates:
Pa 0.068 0.000 0.296
P 0.155 0.500 0.016
C 0.102 0.500 0.543

Computed properties:
V (Å³/f.u.): 47
Spin magnetization (μB per formula unit): 0.00
Crystal system: monoclinic

---

two.
Here is an optimized crystal structure of PaPC from the Alexandria database. Energies are from PBE-GGA.

Cell lengths 3.9373, 3.9373, 3.9016 Å; angles 90.00, 90.00, 120.00 degrees
Space group P-6m2 (No. 187)
Inequivalent atoms, fractional coordinates:
Pa 0.0000 0.0000 0.0000
P 0.3333 0.6667 0.5000
C 0.6667 0.3333 0.0000

Computed properties:
V (Å³/f.u.): 52
Spin magnetization (μB per formula unit): 0.00
Crystal system: hexagonal

---

Computed energies relative to the best structure, in eV/atom: one 0.000; two 0.567